# 1
Below is Hf4CuSn2 after structural relaxation, with properties calculated at the PBE level.

Computed properties:
The calculation puts the density of states at the Fermi level at 10.89 states/eV/cell. For the calculated volume, the calculation gives 306.1 Å³ per cell. The calculation puts the uncorrected energy at -7.473 eV per atom.

Unit cell a=14.914 b=3.181 c=7.398 alpha=90.00 beta=119.29 gamma=90.00
Positions (direct):
Hf  0.078  0.000  0.433
Hf  0.115  0.500  0.858
Hf  0.385  0.000  0.142
Hf  0.422  0.500  0.567
Hf  0.578  0.500  0.433
Hf  0.615  0.000  0.858
Hf  0.885  0.500  0.142
Hf  0.922  0.000  0.567
Cu  0.000  0.000  0.000
Cu  0.500  0.500  0.000
Sn  0.222  0.000  0.260
Sn  0.278  0.500  0.740
Sn  0.722  0.500  0.260
Sn  0.778  0.000  0.740

# 2
Below is SbMoN2 after structural relaxation, with properties calculated at the PBE level.

Computed properties:
The calculation puts the density of states at the Fermi level at 7.86 states/eV/cell. The value obtained for the formation energy without anion corrections is 0.317 eV per atom. For the calculated volume, the calculation gives 268.5 Å³ per cell.

Unit cell a=5.385 b=5.385 c=9.261 alpha=90.00 beta=90.00 gamma=90.00
Positions (direct):
Sb  0.000  0.000  0.000
Sb  0.000  0.500  0.250
Sb  0.500  0.000  0.750
Sb  0.500  0.500  0.500
Mo  0.000  0.000  0.500
Mo  0.000  0.500  0.750
Mo  0.500  0.000  0.250
Mo  0.500  0.500  0.000
N  0.130  0.250  0.625
N  0.250  0.630  0.875
N  0.250  0.870  0.375
N  0.370  0.250  0.125
N  0.630  0.750  0.125
N  0.750  0.130  0.375
N  0.750  0.370  0.875
N  0.870  0.750  0.625

# 3
Below is K4Pa3ZnTe8 after structural relaxation, with properties calculated at the PBE level.

Computed properties:
The calculation puts the density of states at the Fermi level at 21.20 states/eV/cell. The value obtained for the formation energy without anion corrections is -0.852 eV per atom. For the calculated volume, the calculation gives 576.4 Å³ per cell.

Unit cell a=9.715 b=9.715 c=9.715 alpha=55.22 beta=55.22 gamma=55.22
Positions (direct):
K  0.000  0.000  0.000
K  0.000  0.500  0.500
K  0.500  0.000  0.500
K  0.500  0.500  0.000
Pa  0.000  0.000  0.500
Pa  0.000  0.500  0.000
Pa  0.500  0.000  0.000
Zn  0.500  0.500  0.500
Te  0.238  0.238  0.238
Te  0.240  0.731  0.731
Te  0.269  0.269  0.760
Te  0.269  0.760  0.269
Te  0.731  0.240  0.731
Te  0.731  0.731  0.240
Te  0.760  0.269  0.269
Te  0.762  0.762  0.762

# 4
Below is TlHI2 after structural relaxation, with properties calculated at the PBE level.

Computed properties:
Its polymorph energy (0 for the lowest one) is 66.5 kJ/mol of atoms. The calculation puts the density of states at the Fermi level at 11.39 states/eV/cell. For the calculated volume, the calculation gives 513.2 Å³ per cell.

Unit cell a=8.006 b=8.006 c=8.006 alpha=90.00 beta=90.00 gamma=90.00
Positions (direct):
Tl  0.000  0.000  0.000
Tl  0.000  0.500  0.500
Tl  0.500  0.000  0.500
Tl  0.500  0.500  0.000
H  0.000  0.000  0.500
H  0.000  0.500  0.000
H  0.500  0.000  0.000
H  0.500  0.500  0.500
I  0.250  0.250  0.250
I  0.250  0.250  0.750
I  0.250  0.750  0.250
I  0.250  0.750  0.750
I  0.750  0.250  0.250
I  0.750  0.250  0.750
I  0.750  0.750  0.250
I  0.750  0.750  0.750

# 5
Below is Al2Cu2Au3 after structural relaxation, with properties calculated at the PBE level.

Computed properties:
Its polymorph energy (0 for the lowest one) is 0.0 kJ/mol of atoms. The calculation puts the density of states at the Fermi level at 3.77 states/eV/cell. For the calculated volume, the calculation gives 219.4 Å³ per cell.

Unit cell a=11.378 b=3.000 c=6.672 alpha=90.00 beta=105.59 gamma=90.00
Positions (direct):
Al  0.071  0.000  0.211
Al  0.429  0.500  0.789
Al  0.571  0.500  0.211
Al  0.929  0.000  0.789
Cu  0.121  0.500  0.924
Cu  0.379  0.000  0.076
Cu  0.621  0.000  0.924
Cu  0.879  0.500  0.076
Au  0.000  0.500  0.500
Au  0.232  0.000  0.687
Au  0.268  0.500  0.313
Au  0.500  0.000  0.500
Au  0.732  0.500  0.687
Au  0.768  0.000  0.313

# 6
Below is KTaSe2 after structural relaxation, with properties calculated at the PBE level.

Computed properties:
The calculation puts the density of states at the Fermi level at 4.39 states/eV/cell. The value obtained for the formation energy without anion corrections is -0.637 eV per atom. For the calculated volume, the calculation gives 210.1 Å³ per cell.

Unit cell a=7.983 b=3.472 c=7.784 alpha=90.00 beta=103.08 gamma=90.00
Positions (direct):
K  0.000  0.000  0.000
K  0.500  0.500  0.000
Ta  0.203  0.500  0.466
Ta  0.703  0.000  0.466
Se  0.232  0.000  0.714
Se  0.381  0.000  0.328
Se  0.732  0.500  0.714
Se  0.881  0.500  0.328

# 7
Below is K2Na3RuO6 after structural relaxation, with properties calculated at the PBE level.

Computed properties:
The calculation puts the density of states at the Fermi level at 5.96 states/eV/cell. The value obtained for the formation energy without anion corrections is -1.241 eV per atom. For the calculated volume, the calculation gives 180.1 Å³ per cell.

Unit cell a=6.318 b=6.318 c=5.693 alpha=100.52 beta=100.52 gamma=121.32
Positions (direct):
K  0.171  0.829  0.000
K  0.829  0.171  0.000
Na  0.000  0.000  0.500
Na  0.356  0.644  0.500
Na  0.644  0.356  0.500
Ru  0.500  0.500  0.000
O  0.180  0.428  0.777
O  0.308  0.308  0.198
O  0.428  0.180  0.777
O  0.572  0.820  0.223
O  0.692  0.692  0.802
O  0.820  0.572  0.223

# 8
Below is Nb2Pd7Au after structural relaxation, with properties calculated at the PBE level.

Computed properties:
The calculation puts the density of states at the Fermi level at 7.38 states/eV/cell. For the calculated volume, the calculation gives 201.6 Å³ per cell. The calculation puts the uncorrected energy at -5.679 eV per atom.

Unit cell a=7.663 b=7.663 c=4.156 alpha=90.00 beta=90.00 gamma=124.32
Positions (direct):
Nb  0.197  0.803  0.000
Nb  0.803  0.197  0.000
Pd  0.000  0.000  0.000
Pd  0.202  0.420  0.000
Pd  0.299  0.701  0.500
Pd  0.420  0.202  0.000
Pd  0.580  0.798  0.000
Pd  0.701  0.299  0.500
Pd  0.798  0.580  0.000
Au  0.500  0.500  0.500

# 9
Below is Sm2TmSc4 after structural relaxation, with properties calculated at the PBE level.

Computed properties:
The calculation puts the density of states at the Fermi level at 9.61 states/eV/cell. For the calculated volume, the calculation gives 199.6 Å³ per cell. The calculation puts the uncorrected energy at -5.382 eV per atom.

Unit cell a=6.146 b=6.205 c=6.205 alpha=82.84 beta=66.78 gamma=66.75
Positions (direct):
Sm  0.211  0.048  0.047
Sm  0.789  0.952  0.953
Tm  0.000  0.500  0.500
Sc  0.311  0.509  0.884
Sc  0.312  0.882  0.509
Sc  0.688  0.118  0.491
Sc  0.689  0.491  0.116

# 10
Below is MnHgCl6 after structural relaxation, with properties calculated at the PBE level.

Computed properties:
Its polymorph energy (0 for the lowest one) is 1.4 kJ/mol of atoms. The value obtained for the formation energy without anion corrections is -0.666 eV per atom. For the calculated volume, the calculation gives 450.7 Å³ per cell.

Unit cell a=6.438 b=11.735 c=6.372 alpha=90.00 beta=110.57 gamma=90.00
Positions (direct):
Mn  0.000  0.000  0.000
Mn  0.500  0.500  0.000
Hg  0.000  0.500  0.500
Hg  0.500  0.000  0.500
Cl  0.217  0.000  0.792
Cl  0.218  0.142  0.226
Cl  0.218  0.858  0.226
Cl  0.282  0.358  0.774
Cl  0.282  0.642  0.774
Cl  0.283  0.500  0.208
Cl  0.717  0.500  0.792
Cl  0.718  0.358  0.226
Cl  0.718  0.642  0.226
Cl  0.782  0.142  0.774
Cl  0.782  0.858  0.774
Cl  0.783  0.000  0.208

# 11
Below is CdAg2Rh after structural relaxation, with properties calculated at the PBE level.

Computed properties:
The calculation puts the density of states at the Fermi level at 6.86 states/eV/cell. For the calculated volume, the calculation gives 140.0 Å³ per cell. The calculation puts the uncorrected energy at -3.367 eV per atom.

Unit cell a=3.065 b=4.813 c=9.489 alpha=90.00 beta=90.00 gamma=90.00
Positions (direct):
Cd  0.000  0.000  0.000
Cd  0.500  0.500  0.000
Ag  0.000  0.000  0.483
Ag  0.000  0.500  0.737
Ag  0.500  0.000  0.737
Ag  0.500  0.500  0.483
Rh  0.000  0.500  0.239
Rh  0.500  0.000  0.239

# 12
Below is MgSi3Os3 after structural relaxation, with properties calculated at the PBE level.

Computed properties:
The calculation puts the density of states at the Fermi level at 6.47 states/eV/cell. The value obtained for the formation energy without anion corrections is 0.404 eV per atom. For the calculated volume, the calculation gives 279.5 Å³ per cell.

Unit cell a=6.538 b=6.538 c=6.538 alpha=90.00 beta=90.00 gamma=90.00
Positions (direct):
Mg  0.000  0.000  0.000
Mg  0.500  0.500  0.500
Si  0.000  0.250  0.500
Si  0.000  0.750  0.500
Si  0.250  0.500  0.000
Si  0.500  0.000  0.250
Si  0.500  0.000  0.750
Si  0.750  0.500  0.000
Os  0.000  0.500  0.250
Os  0.000  0.500  0.750
Os  0.250  0.000  0.500
Os  0.500  0.250  0.000
Os  0.500  0.750  0.000
Os  0.750  0.000  0.500